Entry 1:
Pm8NiPd2: relaxed, GGA-PBE.

Cell: 5.187 6.791 9.497 Å, 107.23 105.85 90.00°
Atoms (fractional coordinates):
Pm 0.410 0.545 0.820
Pm 0.670 0.998 0.339
Pm 0.798 0.662 0.596
Pm 0.972 0.205 0.944
Pm 0.202 0.338 0.404
Pm 0.330 0.002 0.661
Pm 0.590 0.455 0.180
Pm 0.028 0.795 0.056
Ni 0.500 0.000 0.000
Pd 0.826 0.263 0.653
Pd 0.174 0.737 0.347

Values from the calculation:
* density of states at the Fermi level: 12.005 states/eV per cell
* formation energy from the elements: -0.313 eV per atom
* energy above the lowest structure with this stoichiometry: 0 meV/atom
* crystal system: monoclinic
* mass density: 7.76 Mg/m³
* SG: C2/m, No. 12
* total moment: 0.0 Bohr magnetons per cell



Entry 2:
Pm6NiPd2: relaxed, GGA-PBE.

Cell: 6.696 7.395 10.321 Å, 90.00 92.01 90.00°
Atoms (fractional coordinates):
Pm 0.850 0.964 0.246
Pm 0.827 0.676 0.569
Pm 0.833 0.683 0.934
Pm 0.667 0.183 0.566
Pm 0.673 0.176 0.931
Pm 0.650 0.464 0.254
Pm 0.150 0.036 0.754
Pm 0.173 0.324 0.431
Pm 0.167 0.317 0.066
Pm 0.333 0.817 0.434
Pm 0.327 0.824 0.069
Pm 0.350 0.536 0.746
Ni 0.500 0.500 0.000
Ni 0.000 0.000 0.500
Pd 0.938 0.385 0.762
Pd 0.562 0.885 0.738
Pd 0.438 0.115 0.262
Pd 0.062 0.615 0.238

Values from the calculation:
* density of states at the Fermi level: 18.910 states/eV per cell
* formation energy from the elements: -0.405 eV per atom
* crystal system: monoclinic
* mass density: 7.42 Mg/m³
* SG: P2_1/c, No. 14
* total moment: 0.0 Bohr magnetons per cell